No. 1
VCo2Os2 | GGA-PBE | optimized geometry

Unit cell a=3.608 b=3.608 c=5.958 alpha=72.37 beta=72.37 gamma=90.00
Atoms (fractional coordinates):
Os1 0.750 0.250 0.500
Os2 0.250 0.750 0.500
Co1 0.404 0.404 0.193
Co2 0.596 0.596 0.807
V1 0.000 0.000 0.000

## Properties
Magnetization: 0.00 μB per cell
Energy relative to the elements: 506 meV per atom
Space group: I4/mmm (139)
Energy relative to the lowest polymorph listed for this composition: 359.7 meV per atom

***

No. 2
VCo2Os2 | GGA-PBE | optimized geometry

Unit cell a=7.113 b=7.113 c=2.630 alpha=90.00 beta=90.00 gamma=90.00
Atoms (fractional coordinates):
Os1 0.371 0.871 0.000
Os2 0.871 0.629 0.000
Os3 0.629 0.129 0.000
Os4 0.129 0.371 0.000
Co1 0.168 0.668 0.500
Co2 0.668 0.832 0.500
Co3 0.832 0.332 0.500
Co4 0.332 0.168 0.500
V1 0.000 0.000 0.000
V2 0.500 0.500 0.000

## Properties
Magnetization: 1.87 μB per cell
Energy relative to the elements: 270 meV per atom
Space group: P4/mbm (127)
Energy relative to the lowest polymorph listed for this composition: 123.3 meV per atom

***

No. 3
VCoOs | GGA-PBE | optimized geometry

Unit cell a=4.171 b=4.524 c=8.311 alpha=90.00 beta=90.00 gamma=90.00
Atoms (fractional coordinates):
Os1 0.250 0.938 0.913
Os2 0.750 0.438 0.587
Os3 0.750 0.062 0.087
Os4 0.250 0.562 0.413
V1 0.750 0.556 0.232
V2 0.250 0.056 0.268
V3 0.750 0.944 0.732
V4 0.250 0.444 0.768
Co1 0.250 0.072 0.572
Co2 0.250 0.428 0.072
Co3 0.750 0.928 0.428
Co4 0.750 0.572 0.928

## Properties
Magnetization: 0.00 μB per cell
Energy relative to the elements: -12 meV per atom
Space group: Pnma (62)
Energy relative to the lowest polymorph listed for this composition: 218.7 meV per atom

***

No. 4
VCoOs2 | GGA-PBE | optimized geometry

Unit cell a=3.665 b=3.779 c=3.779 alpha=90.00 beta=90.00 gamma=90.00
Atoms (fractional coordinates):
Co1 0.500 0.000 0.000
Os1 0.000 0.000 0.500
Os2 0.000 0.500 0.000
V1 0.500 0.500 0.500

## Properties
Magnetization: 0.00 μB per cell
Energy relative to the elements: -110 meV per atom
Space group: P4/mmm (123)
Energy relative to the lowest polymorph listed for this composition: 0.0 meV per atom